# TiCr3C

TiCr3C after structural relaxation (PBE, Alexandria via LeMat-Bulk). Values from VASP.

Cell and atoms, written as Quantum ESPRESSO input:
```
&SYSTEM
  ibrav = 0, nat = 5, ntyp = 3
/
ATOMIC_SPECIES
Ti 47.87 Ti.upf
Cr 52.00 Cr.upf
C 12.01 C.upf
ATOMIC_POSITIONS angstrom
Ti 0.000 0.000 0.000
Cr 0.000 1.943 1.943
Cr 1.943 0.000 1.943
Cr 1.943 1.943 0.000
C 1.943 1.943 1.943
CELL_PARAMETERS angstrom
3.886 0.000 0.000
0.000 3.886 0.000
0.000 0.000 3.886
```

Results
final energy = -46.056 eV/cell
distance to the lowest polymorph of the same formula = 0.0 kJ per mole of atoms
energy relative to the elements = -0.07 eV/f.u.
V = 59 Å³/cell

# Ti2CrC

Ti2CrC after structural relaxation (PBE, Alexandria via LeMat-Bulk). Values from VASP.

Cell and atoms, written as Quantum ESPRESSO input:
```
&SYSTEM
  ibrav = 0, nat = 8, ntyp = 3
/
ATOMIC_SPECIES
Ti 47.87 Ti.upf
Cr 52.00 Cr.upf
C 12.01 C.upf
ATOMIC_POSITIONS angstrom
Ti 0.834 1.906 0.479
Ti -1.906 2.977 1.437
Ti -0.834 5.717 0.479
Ti 1.906 4.645 1.437
Cr 3.811 0.000 0.958
Cr 0.000 0.000 1.916
C 0.000 0.000 0.000
C 0.000 3.811 0.958
CELL_PARAMETERS angstrom
-3.811 3.811 1.916
3.811 -3.811 1.916
3.811 3.811 -1.916
```

Results
final energy = -69.069 eV/cell
energy relative to the elements = 0.10 eV/f.u.
V = 111 Å³/cell

# TiCr2C

TiCr2C after structural relaxation (PBE, Alexandria via LeMat-Bulk). Values from VASP.

Cell and atoms, written as Quantum ESPRESSO input:
```
&SYSTEM
  ibrav = 0, nat = 8, ntyp = 3
/
ATOMIC_SPECIES
Ti 47.87 Ti.upf
Cr 52.00 Cr.upf
C 12.01 C.upf
ATOMIC_POSITIONS angstrom
Ti 1.485 3.909 5.003
Ti 1.485 -3.909 1.668
Cr 1.485 1.356 3.715
Cr 1.485 1.356 6.292
Cr 1.485 -1.356 0.379
Cr 1.485 -1.356 2.956
C 1.485 2.229 1.668
C 1.485 -2.229 5.003
CELL_PARAMETERS angstrom
1.485 -4.309 0.000
1.485 4.309 0.000
0.000 0.000 6.671
```

Results
final energy = -75.210 eV/cell
energy relative to the elements = -1.24 eV/f.u.
V = 85 Å³/cell